VASP calculation (PBE) on a relaxed BeSb2Br crystal.

Lattice parameters (Å, degrees): 3.4821 5.6850 4.8184 90.00 90.00 90.00
Fractional positions:
Be1 0.5000 0.0000 0.5000
Sb1 0.5000 0.5000 0.0000
Sb2 0.0000 0.0000 0.0000
Br1 0.0000 0.5000 0.5000

## Properties
Offset from the most stable computed form in meV/atom: 623
Formation energy from raw total energies in eV per atom: 0.550



VASP calculation (PBE) on a relaxed YNiSe2 crystal.

Lattice parameters (Å, degrees): 6.3668 6.3668 6.3668 36.89 36.89 36.89
Each line ends with the local moment (μB).
Fractional positions:
Se1 0.4893 0.4893 0.4893  0.07
Se2 0.0107 0.0107 0.0107  0.07
Ni1 0.7500 0.7500 0.7500  0.80
Y1 0.2500 0.2500 0.2500  0.02

## Properties
Formation energy from raw total energies in eV per atom: -0.951



VASP calculation (PBE) on a relaxed Rb2Ba2Ag crystal.

Lattice parameters (Å, degrees): 9.0089 9.0089 7.3792 90.00 90.00 90.00
Fractional positions:
Ag1 0.0000 0.0000 0.0000
Ag2 0.5000 0.5000 0.0000
Ba1 0.8183 0.3183 0.5000
Ba2 0.1817 0.6817 0.5000
Ba3 0.3183 0.1817 0.5000
Ba4 0.6817 0.8183 0.5000
Rb1 0.3478 0.8478 0.0000
Rb2 0.8478 0.6522 0.0000
Rb3 0.1522 0.3478 0.0000
Rb4 0.6522 0.1522 0.0000

## Properties
Energy relative to the elements in meV/atom: 258
Offset from the most stable computed form in meV/atom: 155



VASP calculation (PBE) on a relaxed Pm3MgAl2 crystal.

Lattice parameters (Å, degrees): 3.7021 3.7021 11.6078 90.00 90.00 90.00
Fractional positions:
Pm1 0.0000 0.0000 0.3199
Pm2 0.0000 0.0000 0.0000
Pm3 0.0000 0.0000 0.6801
Mg1 0.5000 0.5000 0.5000
Al1 0.5000 0.5000 0.8359
Al2 0.5000 0.5000 0.1641

## Properties
Energy relative to the elements in meV/atom: -279
Offset from the most stable computed form in meV/atom: 21



VASP calculation (PBE) on a relaxed Y2RhWI crystal.

Lattice parameters (Å, degrees): 5.3238 5.3238 5.1118 90.00 90.00 90.00
Each line ends with the local moment (μB).
Fractional positions:
I1 0.0000 0.0000 0.5000  0.04
Rh1 0.0000 0.0000 0.0000  0.06
Y1 0.0000 0.5000 0.0000  0.00
Y2 0.5000 0.0000 0.0000  0.00
W1 0.5000 0.5000 0.5000  2.77

## Properties
Formation energy from raw total energies in eV per atom: 0.878



VASP calculation (PBE) on a relaxed La3Sm5Ho2 crystal.

Lattice parameters (Å, degrees): 9.9210 9.8460 11.2423 127.30 127.45 67.60
Fractional positions:
Sm1 0.2711 0.5211 0.0421
Sm2 0.7289 0.4789 0.9579
Sm3 0.4719 0.7219 0.4438
Sm4 0.8513 0.6097 0.7382
Sm5 0.9804 0.2304 0.4609
Sm6 0.1487 0.3903 0.2618
Sm7 0.6131 0.8715 0.2618
Sm8 0.0196 0.7696 0.5391
Sm9 0.5281 0.2781 0.5562
Sm10 0.3869 0.1285 0.7382
La1 0.2275 0.9775 0.9551
La2 0.7725 0.0225 0.0449
La3 0.9799 0.2210 0.7531
La4 0.7267 0.4679 0.2469
La5 0.0201 0.7790 0.2469
La6 0.2733 0.5321 0.7531
Ho1 0.5339 0.2722 0.2578
Ho2 0.4661 0.7278 0.7422
Ho3 0.7761 0.0144 0.7422
Ho4 0.2239 0.9856 0.2578

## Properties
Energy relative to the elements in meV/atom: 179